A plane-wave DFT calculation with GGA-PBE was carried out for a geometry-optimized Cr3W2 structure.

Cell lengths 2.8375, 2.8375, 30.0168 Å; angles 90.00, 90.00, 120.00 degrees
Space group R-3m (No. 166, hexagonal axes)
Unique sites:
Cr 0.0000 0.0000 0.0000 [3 per cell]
Cr 0.0000 0.0000 0.1959 [6 per cell]
W 0.0000 0.0000 0.4011 [6 per cell]

Properties
Final energy   -157.8 eV per cell
ΔE_f   0.43 eV per atom
Magnetization   0.0000 μB/atom
Calculated volume   13.953 Å³ per atom

***

A plane-wave DFT calculation with GGA-PBE was carried out for a geometry-optimized Rb3ErCu2Cl9 structure.

Cell lengths 7.1970, 7.1970, 8.8960 Å; angles 90.00, 90.00, 120.00 degrees
Space group P-3m1 (No. 164)
Unique sites:
Rb 0.0000 0.0000 0.0000 [1 per cell]
Rb 0.3333 0.6667 0.6798 [2 per cell]
Er 0.0000 0.0000 0.5000 [1 per cell]
Cu 0.3333 0.6667 0.1369 [2 per cell]
Cl 0.0000 0.5000 0.0000 [3 per cell]
Cl 0.1703 0.3406 0.3298 [6 per cell]

Properties
Final energy   -55.7 eV per cell
E_form (uncorrected)   -1.562 eV/atom
Magnetization   0.0705 μB/atom
Calculated volume   26.604 Å³ per atom

***

A plane-wave DFT calculation with GGA-PBE was carried out for a geometry-optimized ErFe2PC structure.

Cell lengths 3.629, 10.336, 6.652 Å; angles 90.00, 90.00, 90.00 degrees
Space group Cmcm (No. 63)
Unique sites:
Er 0.000 0.048 0.250 [4 per cell]
Fe 0.000 0.333 0.057 [8 per cell]
P 0.000 0.230 0.750 [4 per cell]
C 0.000 0.500 0.000 [4 per cell]

Properties
Final energy   -158.8 eV per cell
ΔE_f   -0.72 eV per atom
Magnetization   0.0000 μB/atom
Calculated volume   12.476 Å³ per atom

***

A plane-wave DFT calculation with GGA-PBE was carried out for a geometry-optimized AcPm2Ho4Tm structure.

Cell lengths 6.891, 11.916, 13.421 Å; angles 90.00, 90.00, 90.00 degrees
Space group Imma (No. 74)
Unique sites:
Ac 0.000 0.000 0.000 [4 per cell]
Pm 0.000 0.000 0.500 [4 per cell]
Pm 0.250 0.250 0.250 [4 per cell]
Ho 0.000 0.006 0.742 [8 per cell]
Ho 0.238 0.250 0.506 [8 per cell]
Tm 0.250 0.250 0.750 [4 per cell]

Properties
Final energy   -131.6 eV per cell
ΔE_f   0.44 eV per atom
Magnetization   0.1617 μB/atom
Calculated volume   34.442 Å³ per atom

***

A plane-wave DFT calculation with GGA-PBE was carried out for a geometry-optimized MgPb2W structure.

Cell lengths 3.063, 3.063, 10.552 Å; angles 90.00, 90.00, 90.00 degrees
Space group P4mm (No. 99)
Unique sites:
Mg 0.000 0.000 0.000 [1 per cell]
Pb 0.000 0.000 0.593 [1 per cell]
Pb 0.500 0.500 0.238 [1 per cell]
W 0.500 0.500 0.812 [1 per cell]

Properties
Final energy   -19.7 eV per cell
ΔE_f   0.56 eV per atom
Magnetization   0.0000 μB/atom
Calculated volume   24.755 Å³ per atom

***

A plane-wave DFT calculation with GGA-PBE was carried out for a geometry-optimized Li2PaSnN4 structure.

Cell lengths 3.462, 13.296, 8.967 Å; angles 90.00, 90.00, 90.00 degrees
Space group Cmcm (No. 63)
Unique sites:
Li 0.000 0.080 0.043 [8 per cell]
Pa 0.000 0.434 0.250 [4 per cell]
Sn 0.000 0.294 0.750 [4 per cell]
N 0.000 0.117 0.250 [4 per cell]
N 0.000 0.158 0.629 [8 per cell]
N 0.000 0.500 0.000 [4 per cell]

Properties
Final energy   -211.0 eV per cell
E_form (uncorrected)   -0.265 eV/atom
Magnetization   0.1003 μB/atom
Calculated volume   12.898 Å³ per atom

***

A plane-wave DFT calculation with GGA-PBE was carried out for a geometry-optimized AsIr2Ru structure.

Cell lengths 2.824, 3.790, 5.552 Å; angles 90.00, 90.00, 90.00 degrees
Space group Pmmm (No. 47)
Unique sites:
As 0.000 0.000 0.000 [1 per cell]
Ir 0.500 0.500 0.261 [2 per cell]
Ru 0.000 0.000 0.500 [1 per cell]

Properties
Final energy   -30.8 eV per cell
ΔE_f   0.20 eV per atom
Magnetization   0.0000 μB/atom
Calculated volume   14.857 Å³ per atom

***

Question: final energy of number 7 (AsIr2Ru)?
Answer: -30.8 eV per cell

***

Question: Number 5 is which compound?
Answer: MgPb2W